(1)
Compound: Li5Si2NiO8
Source: the Alexandria database
Functional: SCAN
Structure: single point on PBEsol structure

a b c (Å): 7.241 7.345 6.215
angles (deg): 90.00 90.57 90.00
Space group C2 (No. 5)
Unique sites:
Li 0.000 0.000 0.000 x2
Li 0.000 0.010 0.500 x2
Li 0.000 0.648 0.000 x2
Li 0.189 0.302 0.759 x4
Si 0.177 0.311 0.246 x4
Ni 0.000 0.639 0.500 x2
O 0.029 0.147 0.251 x4
O 0.044 0.500 0.262 x4
O 0.191 0.812 0.530 x4
O 0.197 0.821 0.966 x4

Calculated values
energy relative to the elements, uncorrected = -2.411 eV per atom
E = -0.6274 Ry per atom



(2)
Compound: SrAl5
Source: the Alexandria database
Functional: SCAN
Structure: single point on PBEsol structure

a b c (Å): 5.6701 5.6701 4.3984
angles (deg): 90.00 90.00 120.00
Space group P6/mmm (No. 191)
Unique sites:
Sr 0.0000 0.0000 0.0000 x1
Al 0.0000 0.5000 0.5000 x3
Al 0.3333 0.6667 0.0000 x2

Calculated values
energy of formation from the pure elements = -0.1245 eV per atom
E = -0.7568 Ry per atom



(3)
Compound: Sr3SiBi
Source: the Alexandria database
Functional: SCAN
Structure: single point on PBEsol structure

a b c (Å): 6.157 6.157 6.157
angles (deg): 90.00 90.00 90.00
Space group Pm-3m (No. 221)
Unique sites:
Sr 0.000 0.000 0.500 x3
Si 0.500 0.500 0.500 x1
Bi 0.000 0.000 0.000 x1

Calculated values
energy relative to the elements, uncorrected = 0.008 eV per atom
E = -2.2840 Ry per atom



(4)
Compound: CuOsRu2
Source: the Alexandria database
Functional: SCAN
Structure: single point on PBEsol structure

a b c (Å): 3.676 3.676 7.773
angles (deg): 90.00 90.00 90.00
Space group I-4m2 (No. 119)
Unique sites:
Cu 0.000 0.000 0.000 x2
Os 0.000 0.500 0.250 x2
Ru 0.000 0.000 0.500 x2
Ru 0.000 0.500 0.750 x2

Calculated values
energy of formation from the pure elements = 0.3365 eV per atom
E = -2.8552 Ry per atom



(5)
Compound: AlTePO2
Source: the Alexandria database
Functional: SCAN
Structure: single point on PBEsol structure

a b c (Å): 3.947 3.947 5.252
angles (deg): 90.00 90.00 90.00
Space group P4/mmm (No. 123)
Unique sites:
Al 0.000 0.000 0.000 x1
Te 0.500 0.500 0.500 x1
P 0.500 0.500 0.000 x1
O 0.000 0.500 0.500 x2

Calculated values
energy relative to the elements, uncorrected = -0.252 eV per atom
E = -1.0161 Ry per atom



(6)
Compound: BaSrTe4
Source: the Alexandria database
Functional: SCAN
Structure: single point on PBEsol structure

a b c (Å): 9.307 9.307 9.307
angles (deg): 90.00 90.00 90.00
Space group F-43m (No. 216)
Unique sites:
Ba 0.000 0.000 0.000 x4
Sr 0.250 0.250 0.250 x4
Te 0.125 0.125 0.625 x16

Calculated values
energy relative to the elements, uncorrected = -0.603 eV per atom
E = -2.6269 Ry per atom



(7)
Compound: YBi2SbAu
Source: the Alexandria database
Functional: SCAN
Structure: single point on PBEsol structure

a b c (Å): 5.784 5.784 4.995
angles (deg): 90.00 90.00 90.00
Space group P4/mmm (No. 123)
Unique sites:
Y 0.000 0.000 0.000 x1
Bi 0.000 0.500 0.500 x2
Sb 0.500 0.500 0.500 x1
Au 0.500 0.500 0.000 x1

Calculated values
energy relative to the elements, uncorrected = 0.281 eV per atom
E = -4.2631 Ry per atom



(8)
Compound: Ba2IF2
Source: the Alexandria database
Functional: SCAN
Structure: single point on PBEsol structure

a b c (Å): 4.588 4.588 13.412
angles (deg): 90.00 90.00 90.00
Space group I4/mmm (No. 139)
Unique sites:
Ba 0.000 0.000 0.151 x4
I 0.000 0.000 0.500 x2
F 0.000 0.500 0.250 x4

Calculated values
energy relative to the elements, uncorrected = -2.982 eV per atom
E = -2.0261 Ry per atom



(9)
Compound: La2Ge4IrPd3
Source: the Alexandria database
Functional: SCAN
Structure: single point on PBEsol structure

a b c (Å): 4.356 4.356 9.916
angles (deg): 90.00 90.00 90.00
Space group P4mm (No. 99)
Unique sites:
La 0.000 0.000 0.000 x1
La 0.500 0.500 0.488 x1
Ge 0.000 0.000 0.611 x1
Ge 0.000 0.500 0.244 x2
Ge 0.500 0.500 0.871 x1
Ir 0.000 0.000 0.366 x1
Pd 0.000 0.500 0.743 x2
Pd 0.500 0.500 0.119 x1

Calculated values
energy of formation from the pure elements = -0.9888 eV per atom
E = -2.5127 Ry per atom



(10)
Compound: K10Zr3MnMo12O48
Source: the Alexandria database
Functional: SCAN
Structure: single point on PBEsol structure

a b c (Å): 10.5986 10.5986 37.3894
angles (deg): 90.00 90.00 120.00
Space group R3 (No. 146, hexagonal axes)
Unique sites:
K 0.0000 0.0000 0.0000 x3
K 0.0000 0.0000 0.1967 x3
K 0.0000 0.0000 0.4898 x3
K 0.0000 0.0000 0.7069 x3
K 0.9999 0.3676 0.0983 x9
K 0.0010 0.6096 0.5983 x9
Zr 0.0000 0.0000 0.3508 x3
Zr 0.0000 0.0000 0.5983 x3
Zr 0.0000 0.0000 0.8457 x3
Mn 0.0000 0.0000 0.0983 x3
Mo 0.0143 0.3887 0.2135 x9
Mo 0.0213 0.6340 0.7152 x9
Mo 0.0538 0.6991 0.8148 x9
Mo 0.0556 0.3478 0.3164 x9
O 0.0025 0.2734 0.5025 x9
O 0.0119 0.2408 0.2341 x9
O 0.0136 0.7322 0.1926 x9
O 0.0283 0.8578 0.8149 x9
O 0.0293 0.7817 0.7380 x9
O 0.0334 0.1686 0.3146 x9
O 0.0628 0.3936 0.3607 x9
O 0.0658 0.6799 0.6707 x9
O 0.0804 0.1855 0.5669 x9
O 0.0803 0.8952 0.0657 x9
O 0.1046 0.4255 0.6292 x9
O 0.1151 0.6959 0.1252 x9
O 0.1686 0.0337 0.8820 x9
O 0.1704 0.1421 0.3817 x9
O 0.1850 0.1050 0.1310 x9
O 0.1857 0.0808 0.6297 x9

Calculated values
energy relative to the elements, uncorrected = -2.431 eV per atom
E = -1.0838 Ry per atom



(11)
Compound: ZnCdSbI2
Source: the Alexandria database
Functional: SCAN
Structure: single point on PBEsol structure

a b c (Å): 5.731 5.731 5.620
angles (deg): 90.00 90.00 90.00
Space group P4/mmm (No. 123)
Unique sites:
Zn 0.000 0.000 0.000 x1
Cd 0.500 0.500 0.500 x1
Sb 0.500 0.500 0.000 x1
I 0.000 0.500 0.500 x2

Calculated values
energy relative to the elements, uncorrected = 0.442 eV per atom
E = -2.2412 Ry per atom



(12)
Compound: ZrAgHg
Source: the Alexandria database
Functional: SCAN
Structure: single point on PBEsol structure

a b c (Å): 3.149 3.149 11.692
angles (deg): 90.00 90.00 90.00
Space group I4mm (No. 107)
Unique sites:
Zr 0.000 0.000 0.000 x2
Ag 0.000 0.000 0.333 x2
Hg 0.000 0.000 0.674 x2

Calculated values
energy of formation from the pure elements = -0.1558 eV per atom
E = -3.2021 Ry per atom